Record 1
This record from the Alexandria database describes a relaxed structure of LiZr2Tc. The functional is PBE.

Lattice parameters (Å, degrees): 3.4125 3.4125 6.1556 90.00 90.00 90.00
Closest atoms and distances in Å follow each position.
Positions (direct):
Li 0.0000 0.0000 0.5260  5 Zr 2.68-2.84, 4 Tc 2.72
Zr 0.5000 0.5000 0.2819  1 Tc 2.76, 4 Li 2.84
Zr 0.0000 0.0000 0.9619  1 Li 2.68, 4 Tc 2.80
Tc 0.5000 0.5000 0.7302  4 Li 2.72, 5 Zr 2.76-2.80

Properties
Space group: P4mm (99)

***

Record 2
This record from the Alexandria database describes a relaxed structure of LiZrTc. The functional is PBE.

Lattice parameters (Å, degrees): 4.3827 4.3827 4.3827 60.00 60.00 60.00
Closest atoms and distances in Å follow each position.
Positions (direct):
Li 0.0000 0.0000 0.0000  4 Zr 2.68
Zr 0.7500 0.7500 0.7500  4 Tc 2.68, 4 Li 2.68
Tc 0.5000 0.5000 0.5000  4 Zr 2.68

Properties
Space group: F-43m (216)

***

Record 3
This record from the Alexandria database describes a relaxed structure of LiZr2Tc. The functional is PBE.

Lattice parameters (Å, degrees): 4.6820 4.6820 4.6820 60.00 60.00 60.00
Closest atoms and distances in Å follow each position.
Positions (direct):
Zr 0.7500 0.7500 0.7500  4 Tc 2.87, 4 Li 2.87
Zr 0.2500 0.2500 0.2500  4 Tc 2.87, 4 Li 2.87
Tc 0.5000 0.5000 0.5000  8 Zr 2.87
Li 0.0000 0.0000 0.0000  8 Zr 2.87

Properties
Space group: Fm-3m (225)

***

no.,E_form (meV/atom),uncorrected energy (eV/atom)
1,98,-7.25
2,948,-5.99
3,-174,-7.52